Entry from Alexandria via LeMat-Bulk: an optimized crystal structure of CaInRu2 (GGA-PBEsol).

abc: 4.329 5.647 5.647
angles: 31.97 90.00 90.00
Fractional positions:
1 Ca 0.000 0.000 0.000
2 In 0.500 0.340 0.340
3 Ru 0.000 0.729 0.729
4 Ru 0.500 0.624 0.624

E, eV/atom: -6.128
DOS(E_F), states/eV/cell: 4.0

=====

Entry from Alexandria via LeMat-Bulk: an optimized crystal structure of CaInRu3 (GGA-PBEsol).

abc: 4.862 4.862 4.862
angles: 90.00 90.00 90.00
Fractional positions:
1 Ca 0.000 0.000 0.000
2 In 0.500 0.500 0.500
3 Ru 0.000 0.500 0.500
4 Ru 0.500 0.000 0.500
5 Ru 0.500 0.500 0.000

E, eV/atom: -5.504
DOS(E_F), states/eV/cell: 6.1

=====

Entry from Alexandria via LeMat-Bulk: an optimized crystal structure of CaInRu2 (GGA-PBEsol).

abc: 3.394 3.394 6.403
angles: 90.00 90.00 90.00
Fractional positions:
1 Ca 0.000 0.000 0.000
2 In 0.000 0.000 0.500
3 Ru 0.500 0.500 0.296
4 Ru 0.500 0.500 0.704

E, eV/atom: -6.026
DOS(E_F), states/eV/cell: 3.2

=====

Entry from Alexandria via LeMat-Bulk: an optimized crystal structure of CaInSiRu2 (GGA-PBEsol).

abc: 4.607 4.607 4.884
angles: 90.00 90.00 90.00
Fractional positions:
1 Ca 0.000 0.000 0.000
2 In 0.500 0.500 0.500
3 Si 0.000 0.000 0.500
4 Ru 0.000 0.500 0.000
5 Ru 0.500 0.000 0.000

Uncorrected formation energy, meV/atom: 1889
DOS(E_F), states/eV/cell: 5.7

=====

Entry from Alexandria via LeMat-Bulk: an optimized crystal structure of CaInS2 (GGA-PBEsol).

abc: 8.435 8.435 8.435
angles: 26.55 26.55 26.55
Fractional positions:
1 Ca 0.000 0.000 0.000
2 In 0.500 0.500 0.500
3 S 0.110 0.110 0.110
4 S 0.890 0.890 0.890

Uncorrected formation energy, meV/atom: -715
DOS(E_F), states/eV/cell: 1.3

=====

Entry from Alexandria via LeMat-Bulk: an optimized crystal structure of CaIn3S (GGA-PBEsol).

abc: 5.271 5.271 5.271
angles: 90.00 90.00 90.00
Fractional positions:
1 Ca 0.000 0.000 0.000
2 In 0.000 0.500 0.500
3 In 0.500 0.000 0.500
4 In 0.500 0.500 0.000
5 S 0.500 0.500 0.500

Uncorrected formation energy, meV/atom: 15
DOS(E_F), states/eV/cell: 3.7

=====

Entry from Alexandria via LeMat-Bulk: an optimized crystal structure of CaInSe2S (GGA-PBEsol).

abc: 5.149 5.149 4.886
angles: 90.00 90.00 90.00
Fractional positions:
1 Ca 0.000 0.000 0.000
2 In 0.500 0.500 0.000
3 Se 0.000 0.500 0.500
4 Se 0.500 0.000 0.500
5 S 0.500 0.500 0.500

Uncorrected formation energy, meV/atom: -263
DOS(E_F), states/eV/cell: 3.4

=====

Entry from Alexandria via LeMat-Bulk: an optimized crystal structure of Ca2InWS (GGA-PBEsol).

abc: 5.703 5.703 5.047
angles: 90.00 90.00 90.00
Fractional positions:
1 Ca 0.000 0.500 0.000
2 Ca 0.500 0.000 0.000
3 In 0.000 0.000 0.000
4 W 0.000 0.000 0.500
5 S 0.500 0.500 0.500

Uncorrected formation energy, meV/atom: 954
DOS(E_F), states/eV/cell: 3.3

=====

Entry from Alexandria via LeMat-Bulk: an optimized crystal structure of CaInW2S (GGA-PBEsol).

abc: 4.429 4.429 5.456
angles: 90.00 90.00 90.00
Fractional positions:
1 Ca 0.000 0.000 0.000
2 In 0.500 0.500 0.000
3 W 0.000 0.500 0.500
4 W 0.500 0.000 0.500
5 S 0.500 0.500 0.500

Uncorrected formation energy, meV/atom: 691
DOS(E_F), states/eV/cell: 4.2

=====

Entry from Alexandria via LeMat-Bulk: an optimized crystal structure of CaInSb2 (GGA-PBEsol).

abc: 3.416 3.416 9.323
angles: 90.00 90.00 90.00
Fractional positions:
1 Ca 0.000 0.000 0.000
2 In 0.000 0.000 0.500
3 Sb 0.500 0.500 0.240
4 Sb 0.500 0.500 0.760

Uncorrected formation energy, meV/atom: -347
DOS(E_F), states/eV/cell: 1.5

=====

Entry from Alexandria via LeMat-Bulk: an optimized crystal structure of CaInSb (GGA-PBEsol).

abc: 5.224 5.224 5.224
angles: 60.00 60.00 60.00
Fractional positions:
1 Ca 0.000 0.000 0.000
2 In 0.500 0.500 0.500
3 Sb 0.250 0.250 0.250

Uncorrected formation energy, meV/atom: -339
DOS(E_F), states/eV/cell: 2.0

=====

Entry from Alexandria via LeMat-Bulk: an optimized crystal structure of Ca2InSb (GGA-PBEsol).

abc: 5.043 5.043 4.291
angles: 90.00 90.00 90.00
Fractional positions:
1 Ca 0.000 0.500 0.000
2 Ca 0.500 0.000 0.000
3 In 0.000 0.000 0.500
4 Sb 0.500 0.500 0.500

Uncorrected formation energy, meV/atom: -701
DOS(E_F), states/eV/cell: 1.7

=====

Entry from Alexandria via LeMat-Bulk: an optimized crystal structure of Ca5In2Sb6 (GGA-PBEsol).

abc: 11.940 14.096 4.549
angles: 90.00 90.00 90.00
Fractional positions:
1 Ca 0.000 0.000 0.000
2 Ca 0.089 0.247 0.000
3 Ca 0.174 0.519 0.000
4 Ca 0.326 0.019 0.000
5 Ca 0.411 0.747 0.000
6 Ca 0.500 0.500 0.000
7 Ca 0.589 0.253 0.000
8 Ca 0.674 0.981 0.000
9 Ca 0.826 0.481 0.000
10 Ca 0.911 0.753 0.000
11 In 0.163 0.715 0.500
12 In 0.337 0.215 0.500
13 In 0.663 0.785 0.500
14 In 0.837 0.285 0.500
15 Sb 0.041 0.404 0.500
16 Sb 0.149 0.092 0.500
17 Sb 0.165 0.832 0.000
18 Sb 0.335 0.332 0.000
19 Sb 0.351 0.592 0.500
20 Sb 0.459 0.904 0.500
21 Sb 0.541 0.096 0.500
22 Sb 0.649 0.408 0.500
23 Sb 0.665 0.668 0.000
24 Sb 0.835 0.168 0.000
25 Sb 0.851 0.908 0.500
26 Sb 0.959 0.596 0.500

Uncorrected formation energy, meV/atom: -773
DOS(E_F), states/eV/cell: 0.9

=====

Entry from Alexandria via LeMat-Bulk: an optimized crystal structure of CaInSb2 (GGA-PBEsol).

abc: 8.748 8.748 8.748
angles: 26.50 26.50 26.50
Fractional positions:
1 Ca 0.000 0.000 0.000
2 In 0.241 0.241 0.241
3 Sb 0.496 0.496 0.496
4 Sb 0.755 0.755 0.755

Uncorrected formation energy, meV/atom: -184
DOS(E_F), states/eV/cell: 2.3

=====

Entry from Alexandria via LeMat-Bulk: an optimized crystal structure of Ca2InSb (GGA-PBEsol).

abc: 4.000 4.000 6.902
angles: 90.00 90.00 90.00
Fractional positions:
1 Ca 0.000 0.000 0.236
2 Ca 0.000 0.000 0.764
3 In 0.500 0.500 0.500
4 Sb 0.500 0.500 0.000

Uncorrected formation energy, meV/atom: -691
DOS(E_F), states/eV/cell: 2.2

=====

Entry from Alexandria via LeMat-Bulk: an optimized crystal structure of Ca11InSb9 (GGA-PBEsol).

abc: 11.917 11.917 11.917
angles: 120.90 117.38 91.52
Fractional positions:
1 Ca 0.016 0.016 0.000
2 Ca 0.016 0.677 0.011
3 Ca 0.025 0.288 0.370
4 Ca 0.155 0.529 0.257
5 Ca 0.166 0.177 0.661
6 Ca 0.222 0.571 0.793
7 Ca 0.272 0.898 0.743
8 Ca 0.278 0.071 0.349
9 Ca 0.411 0.597 0.642
10 Ca 0.418 0.788 0.263
11 Ca 0.455 0.097 0.186
12 Ca 0.516 0.505 0.339
13 Ca 0.516 0.516 0.000
14 Ca 0.525 0.154 0.737
15 Ca 0.655 0.398 0.626
16 Ca 0.666 0.005 0.989
17 Ca 0.722 0.929 0.651
18 Ca 0.772 0.029 0.374
19 Ca 0.778 0.429 0.207
20 Ca 0.911 0.268 0.814
21 Ca 0.918 0.654 0.630
22 Ca 0.955 0.768 0.358
23 In 0.231 0.231 0.000
24 In 0.731 0.731 0.000
25 Sb 0.004 0.994 0.700
26 Sb 0.094 0.594 0.500
27 Sb 0.201 0.847 0.000
28 Sb 0.228 0.481 0.014
29 Sb 0.229 0.875 0.426
30 Sb 0.294 0.304 0.300
31 Sb 0.348 0.347 0.646
32 Sb 0.449 0.803 0.574
33 Sb 0.466 0.214 0.986
34 Sb 0.504 0.804 0.010
35 Sb 0.594 0.094 0.500
36 Sb 0.701 0.702 0.354
37 Sb 0.728 0.714 0.748
38 Sb 0.729 0.303 0.354
39 Sb 0.794 0.494 0.990
40 Sb 0.848 0.202 0.000
41 Sb 0.949 0.375 0.646
42 Sb 0.966 0.981 0.252

Uncorrected formation energy, meV/atom: -1011

=====

Entry from Alexandria via LeMat-Bulk: an optimized crystal structure of CaInSb2 (GGA-PBEsol).

abc: 4.187 4.187 6.269
angles: 90.00 90.00 90.00
Fractional positions:
1 Ca 0.000 0.000 0.000
2 In 0.500 0.500 0.327
3 Sb 0.000 0.000 0.498
4 Sb 0.500 0.500 0.844

Uncorrected formation energy, meV/atom: -346
DOS(E_F), states/eV/cell: 2.7

=====

Entry from Alexandria via LeMat-Bulk: an optimized crystal structure of CaScIn2 (GGA-PBEsol).

abc: 5.430 5.430 3.325
angles: 90.00 90.00 104.11
Fractional positions:
1 Ca 0.000 0.000 0.000
2 Sc 0.500 0.500 0.000
3 In 0.000 0.500 0.500
4 In 0.500 0.000 0.500

E, eV/atom: -4.117
DOS(E_F), states/eV/cell: 2.2

=====

Entry from Alexandria via LeMat-Bulk: an optimized crystal structure of CaScIn (GGA-PBEsol).

abc: 5.909 5.909 5.909
angles: 147.40 135.16 56.53
Fractional positions:
1 Ca 0.000 0.000 0.000
2 Sc 0.299 0.299 0.000
3 In 0.673 0.673 0.000

E, eV/atom: -4.096
DOS(E_F), states/eV/cell: 3.0

=====

Entry from Alexandria via LeMat-Bulk: an optimized crystal structure of CaScIn (GGA-PBEsol).

abc: 5.050 5.050 5.050
angles: 60.00 60.00 60.00
Fractional positions:
1 Ca 0.000 0.000 0.000
2 Sc 0.500 0.500 0.500
3 In 0.750 0.750 0.750

E, eV/atom: -4.001
DOS(E_F), states/eV/cell: 2.2

=====

Entry from Alexandria via LeMat-Bulk: an optimized crystal structure of CaSc2In (GGA-PBEsol).

abc: 3.332 4.575 6.595
angles: 90.00 90.21 90.00
Fractional positions:
1 Ca 0.000 0.000 0.000
2 Sc 0.499 0.500 0.711
3 Sc 0.998 0.000 0.489
4 In 0.499 0.500 0.259

E, eV/atom: -4.744
DOS(E_F), states/eV/cell: 4.2

=====

Entry from Alexandria via LeMat-Bulk: an optimized crystal structure of CaSc2In (GGA-PBEsol).

abc: 11.826 11.826 11.826
angles: 16.15 16.15 16.15
Fractional positions:
1 Ca 0.000 0.000 0.000
2 Sc 0.415 0.415 0.415
3 Sc 0.585 0.585 0.585
4 In 0.500 0.500 0.500

E, eV/atom: -4.298
DOS(E_F), states/eV/cell: 6.6

=====

Entry from Alexandria via LeMat-Bulk: an optimized crystal structure of CaScIn2 (GGA-PBEsol).

abc: 3.562 5.188 5.187
angles: 90.00 90.00 90.00
Fractional positions:
1 Ca 0.000 0.000 0.000
2 Sc 0.000 0.500 0.502
3 In 0.500 0.000 0.500
4 In 0.500 0.500 0.003

E, eV/atom: -4.120
DOS(E_F), states/eV/cell: 2.4

=====

Entry from Alexandria via LeMat-Bulk: an optimized crystal structure of CaScIn2 (GGA-PBEsol).

abc: 3.305 4.284 6.765
angles: 90.00 90.00 90.00
Fractional positions:
1 Ca 0.000 0.000 0.000
2 Sc 0.000 0.000 0.500
3 In 0.500 0.500 0.276
4 In 0.500 0.500 0.724

E, eV/atom: -4.159
DOS(E_F), states/eV/cell: 1.7

=====

Entry from Alexandria via LeMat-Bulk: an optimized crystal structure of CaScIn2 (GGA-PBEsol).

abc: 5.446 5.446 5.446
angles: 128.92 128.92 75.14
Fractional positions:
1 Ca 0.000 0.000 0.000
2 Sc 0.500 0.500 0.000
3 In 0.250 0.750 0.500
4 In 0.750 0.250 0.500

E, eV/atom: -4.113
DOS(E_F), states/eV/cell: 1.9

=====

Entry from Alexandria via LeMat-Bulk: an optimized crystal structure of CaScIn2 (GGA-PBEsol).

abc: 3.582 3.582 7.518
angles: 90.00 90.00 90.00
Fractional positions:
1 Ca 0.000 0.000 0.000
2 Sc 0.000 0.000 0.500
3 In 0.500 0.500 0.273
4 In 0.500 0.500 0.727

E, eV/atom: -4.162
DOS(E_F), states/eV/cell: 2.4

=====

Entry from Alexandria via LeMat-Bulk: an optimized crystal structure of Ca2InSe (GGA-PBEsol).

abc: 8.764 8.764 8.764
angles: 25.94 25.94 25.94
Fractional positions:
1 Ca 0.236 0.236 0.236
2 Ca 0.764 0.764 0.764
3 In 0.000 0.000 0.000
4 Se 0.500 0.500 0.500

Uncorrected formation energy, meV/atom: -1097
DOS(E_F), states/eV/cell: 2.9